First-principles (GGA-PBE) data for Pr12Y7Th after structural relaxation, as listed in Alexandria.

## Properties
- energy above the most stable polymorph in this dataset (meV/atom) = 0
- SG = R-3 (148)
- formation enthalpy at 0 K (eV per atom) = 0.204
- energy (eV per atom) = -5.30

Lattice parameters (Å, degrees): 8.8804 8.8804 8.8804 90.24 90.24 90.24
Closest atoms and distances in Å follow each position.
Sites, in units of the cell vectors:
1 Pr 0.0004 0.1221 0.6463  4 Pr 3.25-3.62, 2 Y 3.33-3.61
2 Pr 0.9996 0.8779 0.3537  4 Pr 3.25-3.62, 2 Y 3.33-3.61
3 Pr 0.1221 0.6463 0.0004  4 Pr 3.25-3.62, 2 Y 3.33-3.61
4 Pr 0.2261 0.7653 0.6254  3 Pr 3.25-3.62, 1 Th 3.57, 1 Y 3.59
5 Pr 0.2347 0.3746 0.7739  3 Pr 3.25-3.62, 1 Th 3.57, 1 Y 3.59
6 Pr 0.3537 0.9996 0.8779  4 Pr 3.25-3.62, 2 Y 3.33-3.61
7 Pr 0.3746 0.7739 0.2347  3 Pr 3.25-3.62, 1 Th 3.57, 1 Y 3.59
8 Pr 0.6254 0.2261 0.7653  3 Pr 3.25-3.62, 1 Th 3.57, 1 Y 3.59
9 Pr 0.6463 0.0004 0.1221  4 Pr 3.25-3.62, 2 Y 3.33-3.61
10 Pr 0.7653 0.6254 0.2261  3 Pr 3.25-3.62, 1 Th 3.57, 1 Y 3.59
11 Pr 0.7739 0.2347 0.3746  3 Pr 3.25-3.62, 1 Th 3.57, 1 Y 3.59
12 Pr 0.8779 0.3537 0.9996  4 Pr 3.25-3.62, 2 Y 3.33-3.61
13 Y 0.0000 0.0000 0.0000  6 Pr 3.33
14 Y 0.1216 0.4405 0.3501  3 Y 3.58-3.59, 7 Pr 3.59-3.94, 1 Th 3.65
15 Y 0.3501 0.1216 0.4405  3 Y 3.58-3.59, 7 Pr 3.59-3.94, 1 Th 3.65
16 Y 0.4405 0.3501 0.1216  3 Y 3.58-3.59, 7 Pr 3.59-3.94, 1 Th 3.65
17 Y 0.5595 0.6499 0.8784  3 Y 3.58-3.59, 7 Pr 3.59-3.94, 1 Th 3.65
18 Y 0.6499 0.8784 0.5595  3 Y 3.58-3.59, 7 Pr 3.59-3.94, 1 Th 3.65
19 Y 0.8784 0.5595 0.6499  3 Y 3.58-3.59, 7 Pr 3.59-3.94, 1 Th 3.65
20 Th 0.5000 0.5000 0.5000  6 Pr 3.57, 6 Y 3.65